The following is a DFT calculation (PBE) of a relaxed structure of BaHgW2I.

a = 6.3828 Å, b = 6.3828 Å, c = 6.6031 Å
α = 90.00°, β = 90.00°, γ = 90.00°
Last column: nearest neighbours and their distance in Å.
Element x y z (fractional)
Ba (0.0000, 0.0000, 0.0000)  4 W 3.19, 2 Hg 3.30
Hg (0.0000, 0.0000, 0.5000)  2 Ba 3.30
W (0.0000, 0.5000, 0.0000)  2 Ba 3.19
W (0.5000, 0.0000, 0.0000)  2 Ba 3.19
I (0.5000, 0.5000, 0.5000)  4 Hg 4.51, 8 W 4.59

Computed properties:
formation energy without anion corrections: 2.7360 eV per atom
total magnetization: 10.63 μB/f.u.